Crystalline BiIr3Rh at its relaxed geometry. Source: Alexandria via LeMat-Bulk, functional PBE.

Energy of formation from the pure elements in kJ/mol of atoms: 153.3
DOS at the Fermi energy in states/eV per atom: 2.12
Total magnetic moment in Bohr magnetons per cell: 0.96

The structure in CIF format:
```
data_BiIr3Rh
_cell_length_a 4.762
_cell_length_b 4.762
_cell_length_c 4.762
_cell_angle_alpha 90.00
_cell_angle_beta 90.00
_cell_angle_gamma 90.00
_space_group_name_H-M_alt 'P m -3 m'
_space_group_IT_number 221
_space_group_name_Hall '-P 4 2 3'
loop_
_atom_site_label
_atom_site_type_symbol
_atom_site_fract_x
_atom_site_fract_y
_atom_site_fract_z
Bi1 Bi 0.000 0.000 0.000
Ir1 Ir 0.000 0.500 0.500
Rh1 Rh 0.500 0.500 0.500
```

***

Crystalline Bi3IrRh at its relaxed geometry. Source: Alexandria via LeMat-Bulk, functional PBE.

Energy of formation from the pure elements in kJ/mol of atoms: 0.9
DOS at the Fermi energy in states/eV per atom: 0.57
Total magnetic moment in Bohr magnetons per cell: 0.00

The structure in CIF format:
```
data_Bi3IrRh
_cell_length_a 13.662
_cell_length_b 11.796
_cell_length_c 6.709
_cell_angle_alpha 90.00
_cell_angle_beta 112.26
_cell_angle_gamma 90.00
_space_group_name_H-M_alt 'C 1 2/c 1'
_space_group_IT_number 15
loop_
_space_group_symop_operation_xyz
'x,y,z'
'-x,-y,-z'
'-x,y,-z+1/2'
'x,-y,z+1/2'
'x+1/2,y+1/2,z'
'-x+1/2,-y+1/2,-z'
'-x+1/2,y+1/2,-z+1/2'
'x+1/2,-y+1/2,z+1/2'
loop_
_atom_site_label
_atom_site_type_symbol
_atom_site_fract_x
_atom_site_fract_y
_atom_site_fract_z
Bi1 Bi 0.106 0.245 0.088
Bi2 Bi 0.131 0.080 0.503
Bi3 Bi 0.133 0.457 0.653
Ir1 Ir 0.233 0.121 0.939
Rh1 Rh 0.000 0.095 0.750
Rh2 Rh 0.000 0.391 0.250
```

***

Crystalline BiIrRuRh2 at its relaxed geometry. Source: Alexandria via LeMat-Bulk, functional PBE.

Energy of formation from the pure elements in kJ/mol of atoms: 206.2
DOS at the Fermi energy in states/eV per atom: 2.04
Total magnetic moment in Bohr magnetons per cell: 3.90

The structure in CIF format:
```
data_BiIrRuRh2
_cell_length_a 4.861
_cell_length_b 4.861
_cell_length_c 4.935
_cell_angle_alpha 90.00
_cell_angle_beta 90.00
_cell_angle_gamma 90.00
_space_group_name_H-M_alt 'P 4/m m m'
_space_group_IT_number 123
_space_group_name_Hall '-P 4 2'
loop_
_atom_site_label
_atom_site_type_symbol
_atom_site_fract_x
_atom_site_fract_y
_atom_site_fract_z
Bi1 Bi 0.000 0.000 0.000
Ir1 Ir 0.500 0.500 0.500
Ru1 Ru 0.000 0.000 0.500
Rh1 Rh 0.000 0.500 0.000
```

***

Crystalline BiIrRh2S at its relaxed geometry. Source: Alexandria via LeMat-Bulk, functional PBE.

Uncorrected formation energy in eV/atom: 0.745
DOS at the Fermi energy in states/eV per atom: 1.29
Total magnetic moment in Bohr magnetons per cell: 0.00

The structure in CIF format:
```
data_BiIrRh2S
_cell_length_a 4.304
_cell_length_b 4.304
_cell_length_c 5.340
_cell_angle_alpha 90.00
_cell_angle_beta 90.00
_cell_angle_gamma 90.00
_space_group_name_H-M_alt 'P 4/m m m'
_space_group_IT_number 123
_space_group_name_Hall '-P 4 2'
loop_
_atom_site_label
_atom_site_type_symbol
_atom_site_fract_x
_atom_site_fract_y
_atom_site_fract_z
Bi1 Bi 0.000 0.000 0.000
Ir1 Ir 0.500 0.500 0.000
Rh1 Rh 0.000 0.500 0.500
S1 S 0.000 0.000 0.500
```

***

Q: Among the records above, which one has the highest DOS at the Fermi energy?
A: BiIr3Rh

***

Q: Which value of DOS at the Fermi energy does entry 2 give?
A: 0.57 states/eV per atom

***

Q: What is the formula in the third record?
A: BiIrRuRh2